No. 1
{"formula": "Ni5P", "functional": "PBE", "state": "relaxed", "dft_energy_ev_per_cell": -32.2, "magmom_total_mub_per_fu": 1.739, "space_group": "P6/mmm, No. 191", "lattice": [[2.273, -3.936, 0.000], [2.273, 3.936, 0.000], [0.000, 0.000, 4.133]], "species": ["Ni", "Ni", "Ni", "Ni", "Ni", "P"], "frac_coords": [[0.500, 0.500, 0.500], [0.000, 0.500, 0.500], [0.333, 0.667, 0.000], [0.500, 0.000, 0.500], [0.667, 0.333, 0.000], [0.000, 0.000, 0.000]]}

***

No. 2
{"formula": "Ho7GeI12", "functional": "PBE", "state": "relaxed", "magmom_total_mub_per_fu": 0.001, "e_form_raw_ev_per_atom": -1.2203, "space_group": "R-3, No. 148", "lattice": [[9.247, -0.239, -2.843], [-3.783, 8.442, -2.843], [-0.160, -0.239, 9.673]], "species": ["Ge", "I", "I", "I", "I", "I", "I", "I", "I", "I", "I", "I", "I", "Ho", "Ho", "Ho", "Ho", "Ho", "Ho", "Ho"], "frac_coords": [[0.000, 0.000, 0.000], [0.388, 0.468, 0.155], [0.228, 0.078, 0.686], [0.155, 0.388, 0.468], [0.922, 0.314, 0.772], [0.612, 0.532, 0.845], [0.078, 0.686, 0.228], [0.314, 0.772, 0.922], [0.532, 0.845, 0.612], [0.845, 0.612, 0.532], [0.772, 0.922, 0.314], [0.686, 0.228, 0.078], [0.468, 0.155, 0.388], [0.967, 0.689, 0.897], [0.103, 0.033, 0.311], [0.311, 0.103, 0.033], [0.033, 0.311, 0.103], [0.897, 0.967, 0.689], [0.689, 0.897, 0.967], [0.500, 0.500, 0.500]]}

***

No. 3
{"formula": "RbScO3", "functional": "PBE", "state": "relaxed", "magmom_total_mub_per_fu": 0.000, "e_form_raw_ev_per_atom": 0.1885, "space_group": "Pm-3m, No. 221", "lattice": [[4.281, 0.000, 0.000], [0.000, 4.281, 0.000], [0.000, 0.000, 4.281]], "species": ["O", "O", "O", "Rb", "Sc"], "frac_coords": [[0.000, 0.500, 0.000], [0.500, 0.000, 0.000], [0.000, 0.000, 0.500], [0.000, 0.000, 0.000], [0.500, 0.500, 0.500]]}

***

Fermi-level density of states values (in states/eV/f.u.) by entry order: 8.05 11.68 1.93.